[1]
# Na2SiMoAu | Alexandria | GGA-PBE | relaxed
data_Na2SiMoAu
_chemical_formula_sum 'Na2 Si1 Mo1 Au1'
_cell_length_a 5.489
_cell_length_b 4.611
_cell_length_c 5.489
_cell_angle_alpha 90.00
_cell_angle_beta 90.00
_cell_angle_gamma 90.00
_symmetry_space_group_name_H-M 'P 1'
_symmetry_Int_Tables_number 1
loop_
_symmetry_equiv_pos_as_xyz
'x,y,z'
loop_
_atom_site_label
_atom_site_fract_x
_atom_site_fract_y
_atom_site_fract_z
Na1 0.000 0.000 0.500
Mo1 0.500 0.500 0.500
Na2 0.500 0.000 0.000
Si1 0.000 0.000 0.000
Au1 0.000 0.500 0.000
# energy relative to the elements, uncorrected: 1015 meV per atom
# total magnetization: 1.000 μB/atom
# final energy: -0.2513 Ry/atom

=====

[2]
# YCdIr2 | Alexandria | GGA-PBE | relaxed
data_YCdIr2
_chemical_formula_sum 'Y1 Cd1 Ir2'
_cell_length_a 10.089
_cell_length_b 10.089
_cell_length_c 10.089
_cell_angle_alpha 16.77
_cell_angle_beta 16.77
_cell_angle_gamma 16.77
_symmetry_space_group_name_H-M 'P 1'
_symmetry_Int_Tables_number 1
loop_
_symmetry_equiv_pos_as_xyz
'x,y,z'
loop_
_atom_site_label
_atom_site_fract_x
_atom_site_fract_y
_atom_site_fract_z
Y1 0.506 0.506 0.506
Ir1 0.995 0.995 0.995
Ir2 0.258 0.258 0.258
Cd1 0.741 0.741 0.741
# total magnetization: 0.007 μB/atom
# final energy: -0.4395 Ry/atom
# formation energy from the elements: 0.296 eV per atom

=====

[3]
# ScHPd2 | Alexandria | GGA-PBE | relaxed
data_ScHPd2
_chemical_formula_sum 'Sc2 H2 Pd4'
_cell_length_a 6.508
_cell_length_b 6.508
_cell_length_c 5.273
_cell_angle_alpha 51.90
_cell_angle_beta 51.90
_cell_angle_gamma 90.00
_symmetry_space_group_name_H-M 'P 1'
_symmetry_Int_Tables_number 1
loop_
_symmetry_equiv_pos_as_xyz
'x,y,z'
loop_
_atom_site_label
_atom_site_fract_x
_atom_site_fract_y
_atom_site_fract_z
Sc1 0.000 0.000 0.000
H1 0.500 0.500 0.000
Pd1 0.512 0.125 0.250
Pd2 0.875 0.762 0.750
Pd3 0.238 0.625 0.250
Sc2 0.750 0.250 0.500
Pd4 0.375 0.488 0.750
H2 0.250 0.750 0.500
# total magnetization: 0.000 μB/atom
# polymorph energy (0 for the lowest one): 0.000 eV per atom
# final energy: -0.4072 Ry/atom

=====

[4]
# TbEr2S4 | Alexandria | GGA-PBE | relaxed
data_TbEr2S4
_chemical_formula_sum 'Tb1 Er2 S4'
_cell_length_a 3.920
_cell_length_b 6.805
_cell_length_c 7.673
_cell_angle_alpha 118.30
_cell_angle_beta 104.80
_cell_angle_gamma 90.00
_symmetry_space_group_name_H-M 'P 1'
_symmetry_Int_Tables_number 1
loop_
_symmetry_equiv_pos_as_xyz
'x,y,z'
loop_
_atom_site_label
_atom_site_fract_x
_atom_site_fract_y
_atom_site_fract_z
S1 0.873 0.190 0.746
Tb1 0.000 0.000 0.000
S2 0.640 0.277 0.279
Er1 0.270 0.263 0.540
Er2 0.730 0.737 0.460
S3 0.127 0.810 0.254
S4 0.360 0.723 0.721
# energy relative to the elements, uncorrected: -2022 meV per atom
# total magnetization: 0.000 μB/atom
# final energy: -0.4664 Ry/atom

=====

Repeat the fourth record exactly.
# TbEr2S4 | Alexandria | GGA-PBE | relaxed
data_TbEr2S4
_chemical_formula_sum 'Tb1 Er2 S4'
_cell_length_a 3.920
_cell_length_b 6.805
_cell_length_c 7.673
_cell_angle_alpha 118.30
_cell_angle_beta 104.80
_cell_angle_gamma 90.00
_symmetry_space_group_name_H-M 'P 1'
_symmetry_Int_Tables_number 1
loop_
_symmetry_equiv_pos_as_xyz
'x,y,z'
loop_
_atom_site_label
_atom_site_fract_x
_atom_site_fract_y
_atom_site_fract_z
S1 0.873 0.190 0.746
Tb1 0.000 0.000 0.000
S2 0.640 0.277 0.279
Er1 0.270 0.263 0.540
Er2 0.730 0.737 0.460
S3 0.127 0.810 0.254
S4 0.360 0.723 0.721
# energy relative to the elements, uncorrected: -2022 meV per atom
# total magnetization: 0.000 μB/atom
# final energy: -0.4664 Ry/atom

=====

Q: Look up the total magnetization of the third one.
A: 0.000 μB/atom

=====

Q: Among the records above, which one has the highest final energy?
A: Na2SiMoAu